A plane-wave DFT calculation with PBE was carried out for an optimized crystal structure of Cu7Pt5.

Calculated values
The value obtained for the calculated total energy is -5.035 eV per atom. As for the space group: No. 12. The value obtained for the density of states at the Fermi level is 0.567 states/eV/atom. The volume is 164 Å³ per cell. Its calculated formation energy is -0.128 eV/atom.

extended XYZ file:
```
12
Lattice="-5.0954 2.7057 1.8427 -1.7928 -5.5913 1.4842 1.4403 1.3350 4.1400" Properties=species:S:1:pos:R:3 pbc="T T T"
Cu 1.4282 1.3194 4.1424
Cu -2.7616 1.4461 2.2336
Cu -0.4158 0.2023 2.6220
Cu -5.0336 0.4943 3.3309
Cu -2.7400 -0.7714 3.7446
Cu -3.1357 -0.5926 6.3468
Cu -2.2824 -3.1934 2.6204
Pt -3.1921 1.6316 4.8593
Pt -2.2619 -0.9642 1.1776
Pt -0.3902 -2.0348 4.1243
Pt -5.0541 -1.7348 4.7738
Pt -2.6836 -2.9956 5.2320
```